Crystalline Hf3TaIn at its relaxed geometry, computed with PBE.

```
Hf3TaIn
1.0
-0.518 -1.318 4.900
-4.291 -2.516 -1.130
2.709 -4.237 -0.854
In Hf Ta
1 3 1
Direct
0.500 0.500 0.500 In
0.000 0.500 0.000 Hf
0.000 0.000 0.500 Hf
0.500 0.000 0.000 Hf
0.000 0.000 0.000 Ta
```

Computed properties:
- SG = No. 221
- E_form (eV per atom) = 0.9824
- calculated volume (Å³ per atom) = 26.541
- E (eV/f.u.) = -39.539